No. 1
{"formula": "MgNiPdPb", "functional": "PBE", "state": "relaxed", "space_group": "F-43m", "magnetic_moment_mub_per_cell": 0.00, "e_tot_ev_per_atom": -4.2735, "formation_enthalpy_0k_ev_per_atom": -0.204, "lattice_angstrom": [[0.0000, 3.2509, 3.2509], [3.2509, 0.0000, 3.2509], [3.2509, 3.2509, 0.0000]], "species": ["Mg", "Ni", "Pd", "Pb"], "fractional_positions": [[0.0000, 0.0000, 0.0000], [0.2500, 0.2500, 0.2500], [0.7500, 0.7500, 0.7500], [0.5000, 0.5000, 0.5000]]}

No. 2
{"formula": "BeAg3Pt", "functional": "PBE", "state": "relaxed", "space_group": "Pm-3m", "magnetic_moment_mub_per_cell": 0.00, "e_tot_ev_per_atom": -3.1759, "formation_enthalpy_0k_ev_per_atom": 0.488, "lattice_angstrom": [[4.3611, 0.0000, 0.0000], [0.0000, 4.3611, 0.0000], [0.0000, 0.0000, 4.3611]], "species": ["Be", "Ag", "Ag", "Ag", "Pt"], "fractional_positions": [[0.0000, 0.0000, 0.0000], [0.0000, 0.0000, 0.5000], [0.0000, 0.5000, 0.0000], [0.5000, 0.0000, 0.0000], [0.5000, 0.5000, 0.5000]]}

No. 3
{"formula": "CuAsS3", "functional": "PBE", "state": "relaxed", "space_group": "Pm-3m", "magnetic_moment_mub_per_cell": 0.00, "e_tot_ev_per_atom": -3.5674, "raw_formation_energy_mev_per_atom": 658, "lattice_angstrom": [[4.4725, 0.0000, 0.0000], [0.0000, 4.4725, 0.0000], [0.0000, 0.0000, 4.4725]], "species": ["Cu", "As", "S", "S", "S"], "fractional_positions": [[0.0000, 0.0000, 0.0000], [0.5000, 0.5000, 0.5000], [0.0000, 0.0000, 0.5000], [0.0000, 0.5000, 0.0000], [0.5000, 0.0000, 0.0000]]}